This record from the Alexandria database describes an optimized crystal structure of Sb4WO12. The functional is PBE+U.

Its final energy is -105.62 eV/cell. Its space group is I4/mmm.

The structure in extended XYZ format:
```
17
Lattice="-3.8968 3.8968 3.6893 3.8968 -3.8968 3.6893 3.8968 3.8968 -3.6893" Properties=species:S:1:pos:R:3 pbc="T T T"
Sb 1.9484 1.9484 -1.8447
Sb 1.9484 -1.9484 1.8447
Sb -1.9484 1.9484 1.8447
Sb 1.9484 1.9484 1.8447
W 0.0000 0.0000 0.0000
O 3.8968 -2.1219 2.3981
O 1.7749 0.0000 1.2912
O 6.0186 0.0000 1.2912
O 2.4132 2.4132 0.0000
O 1.4836 -1.4836 3.6893
O 0.0000 1.7749 1.2912
O 3.8968 2.1219 2.3981
O -1.4836 1.4836 3.6893
O 1.4836 1.4836 3.6893
O -2.1219 3.8968 2.3981
O 2.1219 3.8968 2.3981
O 0.0000 6.0186 1.2912
```